First-principles (PBE-GGA) data for an optimized crystal structure of Pr2CdSn2Rh5, as listed in the Alexandria database.

```
Pr2CdSn2Rh5
1.0
-0.053 0.247 -3.755
-1.063 -10.259 -0.661
-10.279 1.051 0.214
Pr Cd Sn Rh
4 2 4 10
Direct
0.000 0.673 0.173
0.000 0.327 0.827
0.000 0.173 0.327
0.000 0.827 0.673
0.000 0.000 0.000
0.000 0.500 0.500
0.000 0.126 0.626
0.000 0.874 0.374
0.000 0.626 0.874
0.000 0.374 0.126
0.500 0.204 0.061
0.500 0.796 0.939
0.500 0.061 0.796
0.500 0.704 0.439
0.500 0.939 0.204
0.500 0.296 0.561
0.500 0.561 0.704
0.500 0.439 0.296
0.500 0.500 0.000
0.500 0.000 0.500
```

Its mass density is 9468 kg/m³. The value obtained for the density of states at the Fermi level is 3.0 states/eV/f.u. As for the total energy: -119.75 eV for the cell shown. The calculation puts the calculated formation energy at -0.464 eV/atom.

First-principles (PBE-GGA) data for an optimized crystal structure of Pr2CdSn4Rh3, as listed in the Alexandria database.

```
Pr2CdSn4Rh3
1.0
-3.706 -2.604 -0.290
0.723 -1.499 4.222
-6.169 8.331 4.014
Pr Cd Sn Rh
2 1 4 3
Direct
0.500 0.000 0.240
0.000 0.500 0.760
0.500 0.500 0.500
0.500 0.500 0.000
0.000 0.000 0.000
0.500 0.000 0.644
0.000 0.500 0.356
0.000 0.000 0.500
0.500 0.000 0.876
0.000 0.500 0.124
```

Its mass density is 8541 kg/m³. The value obtained for the density of states at the Fermi level is 6.6 states/eV/f.u. As for the total energy: -54.68 eV for the cell shown. The calculation puts the calculated formation energy at -0.614 eV/atom.

First-principles (PBE-GGA) data for an optimized crystal structure of Pr2CdSn3Rh4, as listed in the Alexandria database.

```
Pr2CdSn3Rh4
1.0
4.429 0.000 0.000
0.000 4.429 0.000
0.000 0.000 11.132
Pr Cd Sn Rh
2 1 3 4
Direct
0.500 0.000 0.247
0.000 0.500 0.753
0.500 0.500 0.500
0.000 0.000 0.500
0.500 0.000 0.872
0.000 0.500 0.128
0.500 0.500 0.000
0.000 0.000 0.000
0.500 0.000 0.640
0.000 0.500 0.360
```

Its mass density is 8834 kg/m³. The value obtained for the density of states at the Fermi level is 6.9 states/eV/f.u. As for the total energy: -58.22 eV for the cell shown. The calculation puts the calculated formation energy at -0.633 eV/atom.

First-principles (PBE-GGA) data for an optimized crystal structure of SrPrCdRh, as listed in the Alexandria database.

```
SrPrCdRh
1.0
-3.496 -3.983 0.299
1.424 -4.622 2.186
-1.992 -1.435 4.706
Pr Sr Rh Cd
1 1 1 1
Direct
0.250 0.250 0.250
0.750 0.750 0.750
0.500 0.500 0.500
0.000 0.000 0.000
```

Its mass density is 6971 kg/m³. The value obtained for the density of states at the Fermi level is 4.2 states/eV/f.u. As for the total energy: -15.82 eV for the cell shown. The calculation puts the calculated formation energy at -0.273 eV/atom.

First-principles (PBE-GGA) data for an optimized crystal structure of PrTlCdRh, as listed in the Alexandria database.

```
PrTlCdRh
1.0
-4.515 -0.651 -2.233
-0.280 -2.202 -4.569
-1.959 -4.664 -0.456
Pr Tl Rh Cd
1 1 1 1
Direct
0.250 0.250 0.250
0.000 0.000 0.000
0.500 0.500 0.500
0.750 0.750 0.750
```

Its mass density is 10046 kg/m³. The value obtained for the density of states at the Fermi level is 3.0 states/eV/f.u. As for the total energy: -16.24 eV for the cell shown. The calculation puts the calculated formation energy at -0.206 eV/atom.

First-principles (PBE-GGA) data for an optimized crystal structure of PrYCdRh, as listed in the Alexandria database.

```
PrYCdRh
1.0
-2.583 2.415 -3.771
1.712 -0.242 -4.872
-2.603 -2.748 -3.521
Pr Y Rh Cd
1 1 1 1
Direct
0.250 0.250 0.250
0.750 0.750 0.750
0.000 0.000 0.000
0.500 0.500 0.500
```

Its mass density is 7567 kg/m³. The value obtained for the density of states at the Fermi level is 2.2 states/eV/f.u. As for the total energy: -21.34 eV for the cell shown. The calculation puts the calculated formation energy at -0.457 eV/atom.

First-principles (PBE-GGA) data for an optimized crystal structure of Pr2Zn2CdRh5, as listed in the Alexandria database.

```
Pr2Zn2CdRh5
1.0
3.764 0.000 0.000
0.000 9.801 0.000
0.000 0.000 9.801
Pr Zn Cd Rh
4 4 2 10
Direct
0.000 0.677 0.177
0.000 0.323 0.823
0.000 0.177 0.323
0.000 0.823 0.677
0.000 0.120 0.620
0.000 0.880 0.380
0.000 0.620 0.880
0.000 0.380 0.120
0.000 0.000 0.000
0.000 0.500 0.500
0.500 0.210 0.067
0.500 0.790 0.933
0.500 0.067 0.790
0.500 0.710 0.433
0.500 0.933 0.210
0.500 0.290 0.567
0.500 0.567 0.710
0.500 0.433 0.290
0.500 0.500 0.000
0.500 0.000 0.500
```

Its mass density is 9547 kg/m³. The value obtained for the density of states at the Fermi level is 4.6 states/eV/f.u. As for the total energy: -108.73 eV for the cell shown. The calculation puts the calculated formation energy at -0.459 eV/atom.

First-principles (PBE-GGA) data for an optimized crystal structure of Pr8Cd3Ru2, as listed in the Alexandria database.

```
Pr8Cd3Ru2
1.0
-1.665 -4.691 8.420
0.740 -9.432 2.483
5.067 0.694 1.498
Pr Cd Ru
8 3 2
Direct
0.429 0.429 0.259
0.571 0.571 0.741
0.835 0.835 0.231
0.165 0.165 0.769
0.440 0.901 0.258
0.901 0.440 0.258
0.099 0.560 0.742
0.560 0.099 0.742
0.000 0.000 0.500
0.822 0.178 0.000
0.178 0.822 0.000
0.722 0.722 0.760
0.278 0.278 0.240
```

Its mass density is 7297 kg/m³. The value obtained for the density of states at the Fermi level is 13.5 states/eV/f.u. As for the total energy: -60.65 eV for the cell shown. The calculation puts the calculated formation energy at -0.086 eV/atom.